# LiCoBAs

An optimized crystal structure of LiCoBAs (PBE, OQMD).

CIF file:
```
data_LiCoBAs
_chemical_formula_sum 'Li4 Co4 B4 As4'
_symmetry_space_group_name_H-M 'F -4 3 m'
_symmetry_Int_Tables_number 216
_symmetry_space_group_name_Hall 'F -4 2 3'
_cell_length_a 5.5187
_cell_length_b 5.5187
_cell_length_c 5.5187
_cell_angle_alpha 90.00
_cell_angle_beta 90.00
_cell_angle_gamma 90.00
loop_
_atom_site_label
_atom_site_fract_x
_atom_site_fract_y
_atom_site_fract_z
_atom_site_occupancy
Li1 0.0000 0.0000 0.0000 1
Co1 0.0000 0.0000 0.5000 1
B1 0.2500 0.2500 0.2500 1
As1 0.2500 0.2500 0.7500 1
```

Summary:
DFT total energy (eV/atom): -4.85
M_tot (μB/cell): 0.06

***

# CuTcAsIr

An optimized crystal structure of CuTcAsIr (PBE, OQMD).

CIF file:
```
data_CuTcAsIr
_chemical_formula_sum 'Cu4 Tc4 As4 Ir4'
_symmetry_space_group_name_H-M 'F -4 3 m'
_symmetry_Int_Tables_number 216
_symmetry_space_group_name_Hall 'F -4 2 3'
_cell_length_a 6.1381
_cell_length_b 6.1381
_cell_length_c 6.1381
_cell_angle_alpha 90.00
_cell_angle_beta 90.00
_cell_angle_gamma 90.00
loop_
_atom_site_label
_atom_site_fract_x
_atom_site_fract_y
_atom_site_fract_z
_atom_site_occupancy
Cu1 0.0000 0.0000 0.0000 1
Tc1 0.0000 0.0000 0.5000 1
As1 0.2500 0.2500 0.7500 1
Ir1 0.2500 0.2500 0.2500 1
```

Summary:
DFT total energy (eV/atom): -6.68
M_tot (μB/cell): 0.02

***

# SmPb6

An optimized crystal structure of SmPb6 (PBE, OQMD).

CIF file:
```
data_SmPb6
_chemical_formula_sum 'Sm4 Pb24'
_symmetry_space_group_name_H-M 'F m -3 m'
_symmetry_Int_Tables_number 225
_symmetry_space_group_name_Hall '-F 4 2 3'
_cell_length_a 9.6055
_cell_length_b 9.6055
_cell_length_c 9.6055
_cell_angle_alpha 90.00
_cell_angle_beta 90.00
_cell_angle_gamma 90.00
loop_
_atom_site_label
_atom_site_fract_x
_atom_site_fract_y
_atom_site_fract_z
_atom_site_occupancy
Sm1 0.0000 0.0000 0.0000 1
Pb1 0.0000 0.2500 0.2500 1
```

Summary:
DFT total energy (eV/atom): -3.99
M_tot (μB/cell): 0.00

***

- Which of these has the lowest M_tot?
  SmPb6

***

- What is the DFT total energy in the second record?
  -6.68 eV/atom

***

- The highest DFT total energy belongs to which entry?
  SmPb6